The following is a GGA-PBE calculation of HfGa5Co after structural relaxation, from Alexandria via LeMat-Bulk.

## Properties
ΔH_f (0 K)   -356 meV/atom
Crystal system   tetragonal
Calculated density   8.58 g cm⁻³
Space-group type   No. 123
Spin magnetization   0.00 μB/f.u.

abc: 4.1497 4.1497 6.5847
angles: 90.00 90.00 90.00
Last column: nearest neighbours and their distance in Å.
Fractional coordinates of all 7 atoms:
Hf1 0.0000 0.0000 0.0000  12 Ga 2.87-2.93
Ga1 0.0000 0.5000 0.3021  2 Co 2.45, 1 Ga 2.61
Ga2 0.0000 0.5000 0.6979  2 Co 2.45, 1 Ga 2.61
Ga3 0.5000 0.0000 0.3021  2 Co 2.45, 1 Ga 2.61
Ga4 0.5000 0.0000 0.6979  2 Co 2.45, 1 Ga 2.61
Ga5 0.5000 0.5000 0.0000  8 Ga 2.87, 4 Hf 2.93
Co1 0.0000 0.0000 0.5000  8 Ga 2.45

The following is a GGA-PBE calculation of Hf2Ga3Co4 after structural relaxation, from Alexandria via LeMat-Bulk.

## Properties
ΔH_f (0 K)   -385 meV/atom
Energy above the lowest structure with this stoichiometry   0.0307 eV per atom
Crystal system   orthorhombic
Calculated density   10.48 g cm⁻³
Space-group type   No. 64
Spin magnetization   0.00 μB/f.u.

abc: 7.6459 7.6459 6.8726
angles: 90.00 90.00 140.77
Last column: nearest neighbours and their distance in Å.
Fractional coordinates of all 18 atoms:
Hf1 0.1017 0.8983 0.9100  7 Co 2.71-2.97, 4 Ga 2.89-3.02
Hf2 0.3983 0.6017 0.4100  7 Co 2.71-2.97, 4 Ga 2.89-3.02
Hf3 0.6017 0.3983 0.5900  7 Co 2.71-2.97, 4 Ga 2.89-3.02
Hf4 0.8983 0.1017 0.0900  7 Co 2.71-2.97, 4 Ga 2.89-3.02
Ga1 0.0000 0.0000 0.5000  6 Co 2.36-2.45
Ga2 0.0146 0.4854 0.7500  5 Co 2.41-2.47, 2 Ga 2.57
Ga3 0.4854 0.0146 0.2500  5 Co 2.41-2.47, 2 Ga 2.57
Ga4 0.5000 0.5000 0.0000  6 Co 2.36-2.45
Ga5 0.5146 0.9854 0.7500  5 Co 2.41-2.47, 2 Ga 2.57
Ga6 0.9854 0.5146 0.2500  5 Co 2.41-2.47, 2 Ga 2.57
Co1 0.1697 0.8303 0.5169  5 Ga 2.43-2.47, 2 Co 2.67
Co2 0.1819 0.3181 0.7500  3 Ga 2.36-2.41, 2 Co 2.57
Co3 0.3181 0.1819 0.2500  3 Ga 2.36-2.41, 2 Co 2.57
Co4 0.3303 0.6697 0.0169  5 Ga 2.43-2.47, 2 Co 2.67
Co5 0.6697 0.3303 0.9831  5 Ga 2.43-2.47, 2 Co 2.67
Co6 0.6819 0.8181 0.7500  3 Ga 2.36-2.41, 2 Co 2.57
Co7 0.8181 0.6819 0.2500  3 Ga 2.36-2.41, 2 Co 2.57
Co8 0.8303 0.1697 0.4831  5 Ga 2.43-2.47, 2 Co 2.67

The following is a GGA-PBE calculation of Hf4Ga2Co after structural relaxation, from Alexandria via LeMat-Bulk.

## Properties
ΔH_f (0 K)   87 meV/atom
Crystal system   tetragonal
Calculated density   10.13 g cm⁻³
Space-group type   No. 139
Spin magnetization   0.00 μB/f.u.

abc: 7.9041 7.9041 7.9041
angles: 146.54 146.54 48.05
Last column: nearest neighbours and their distance in Å.
Fractional coordinates of all 7 atoms:
Hf1 0.0000 0.5000 0.5000  2 Co 2.28
Hf2 0.1787 0.1787 0.0000  1 Co 2.58, 1 Ga 2.72
Hf3 0.5000 0.0000 0.5000  2 Co 2.28
Hf4 0.8213 0.8213 0.0000  1 Co 2.58, 1 Ga 2.72
Ga1 0.3670 0.3670 0.0000  5 Hf 2.72-2.98
Ga2 0.6330 0.6330 0.0000  5 Hf 2.72-2.98
Co1 0.0000 0.0000 0.0000  4 Hf 2.28

The following is a GGA-PBE calculation of Hf6Ga16Co7 after structural relaxation, from Alexandria via LeMat-Bulk.

## Properties
ΔH_f (0 K)   -403 meV/atom
Crystal system   cubic
Calculated density   9.94 g cm⁻³
Space-group type   No. 225
Spin magnetization   0.00 μB/f.u.

abc: 8.4989 8.4989 8.4989
angles: 60.00 60.00 60.00
Last column: nearest neighbours and their distance in Å.
Fractional coordinates of all 29 atoms:
Hf1 0.1964 0.1964 0.8036  8 Ga 2.74-3.01
Hf2 0.1964 0.8036 0.1964  8 Ga 2.74-3.01
Hf3 0.1964 0.8036 0.8036  8 Ga 2.74-3.01
Hf4 0.8036 0.1964 0.1964  8 Ga 2.74-3.01
Hf5 0.8036 0.1964 0.8036  8 Ga 2.74-3.01
Hf6 0.8036 0.8036 0.1964  8 Ga 2.74-3.01
Ga1 0.1367 0.6211 0.6211  4 Co 2.52-2.63, 3 Ga 2.72
Ga2 0.1588 0.1588 0.1588  3 Co 2.46, 3 Ga 2.72, 3 Hf 2.74
Ga3 0.1588 0.1588 0.5236  3 Co 2.46, 3 Ga 2.72, 3 Hf 2.74
Ga4 0.1588 0.5236 0.1588  3 Co 2.46, 3 Ga 2.72, 3 Hf 2.74
Ga5 0.3789 0.3789 0.3789  4 Co 2.52-2.63, 3 Ga 2.72
Ga6 0.3789 0.3789 0.8633  4 Co 2.52-2.63, 3 Ga 2.72
Ga7 0.3789 0.8633 0.3789  4 Co 2.52-2.63, 3 Ga 2.72
Ga8 0.4764 0.8412 0.8412  3 Co 2.46, 3 Ga 2.72, 3 Hf 2.74
Ga9 0.5236 0.1588 0.1588  3 Co 2.46, 3 Ga 2.72, 3 Hf 2.74
Ga10 0.6211 0.1367 0.6211  4 Co 2.52-2.63, 3 Ga 2.72
Ga11 0.6211 0.6211 0.1367  4 Co 2.52-2.63, 3 Ga 2.72
Ga12 0.6211 0.6211 0.6211  4 Co 2.52-2.63, 3 Ga 2.72
Ga13 0.8412 0.4764 0.8412  3 Co 2.46, 3 Ga 2.72, 3 Hf 2.74
Ga14 0.8412 0.8412 0.4764  3 Co 2.46, 3 Ga 2.72, 3 Hf 2.74
Ga15 0.8412 0.8412 0.8412  3 Co 2.46, 3 Ga 2.72, 3 Hf 2.74
Ga16 0.8633 0.3789 0.3789  4 Co 2.52-2.63, 3 Ga 2.72
Co1 0.0000 0.0000 0.5000  8 Ga 2.46-2.63
Co2 0.0000 0.5000 0.0000  8 Ga 2.46-2.63
Co3 0.0000 0.5000 0.5000  8 Ga 2.46-2.63
Co4 0.5000 0.0000 0.0000  8 Ga 2.46-2.63
Co5 0.5000 0.0000 0.5000  8 Ga 2.46-2.63
Co6 0.5000 0.5000 0.0000  8 Ga 2.46-2.63
Co7 0.5000 0.5000 0.5000  8 Ga 2.52